1.
{
  "formula": "VAgPb",
  "functional": "PBE",
  "state": "optimized geometry",
  "spacegroup": "P1, No. 1",
  "density_g_cm3": 9.77,
  "magmom_total_mub_per_cell": 0.00,
  "delta_e_f_ev_per_atom": 0.368,
  "dft_energy_ev_per_atom": -4.86,
  "cell": [[-0.7944, 1.1344, 2.8752], [-4.4640, 0.5241, -1.6914], [-0.4948, -7.7612, 2.7243]],
  "species": ["Pb", "Pb", "Ag", "Ag", "V", "V"],
  "fractional_positions": [[0.7327, 0.3873, 0.2318], [0.1807, 0.8152, 0.9501], [0.2282, 0.4861, 0.5750], [0.2526, 0.9251, 0.3657], [0.6292, 0.2864, 0.8311], [0.7872, 0.9998, 0.6547]]
}

---

2.
{
  "formula": "In2SbPbSe6",
  "functional": "PBE",
  "state": "optimized geometry",
  "spacegroup": "C2/c, No. 15",
  "e_form_raw_ev_per_atom": -0.35,
  "density_g_cm3": 5.79,
  "magmom_total_mub_per_cell": 0.00,
  "dft_energy_ev_per_atom": -3.77,
  "cell": [[7.6967, -0.3633, -0.3770], [2.0311, 8.6760, 0.4637], [2.0311, 0.1419, 8.6872]],
  "species": ["In", "In", "In", "In", "Sb", "Sb", "Pb", "Pb", "Se", "Se", "Se", "Se", "Se", "Se", "Se", "Se", "Se", "Se", "Se", "Se"],
  "fractional_positions": [[0.2743, 0.7643, 0.6077], [0.2257, 0.3923, 0.2357], [0.7257, 0.2357, 0.3923], [0.7743, 0.6077, 0.7643], [0.2500, 0.2476, 0.7524], [0.7500, 0.7524, 0.2476], [0.2500, 0.8736, 0.1264], [0.7500, 0.1264, 0.8736], [0.1392, 0.9733, 0.8152], [0.3608, 0.1848, 0.0267], [0.8608, 0.0267, 0.1848], [0.6392, 0.8152, 0.9733], [0.4220, 0.9405, 0.3811], [0.0780, 0.6189, 0.0595], [0.5780, 0.0595, 0.6189], [0.9220, 0.3811, 0.9405], [0.9769, 0.7214, 0.5297], [0.5231, 0.4703, 0.2786], [0.0231, 0.2786, 0.4703], [0.4769, 0.5297, 0.7214]]
}

---

3.
{
  "formula": "EuSiAs2",
  "functional": "PBE",
  "state": "optimized geometry",
  "spacegroup": "R-3m, No. 166",
  "e_form_raw_ev_per_atom": 0.05,
  "density_g_cm3": 5.46,
  "magmom_total_mub_per_cell": 7.52,
  "dft_energy_ev_per_atom": -6.20,
  "cell": [[3.5929, 0.0000, 0.0000], [1.7965, 3.1116, 0.0000], [1.7965, 1.0372, 8.9707]],
  "species": ["Eu", "As", "As", "Si"],
  "fractional_positions": [[0.0000, 0.0000, 0.0000], [0.1120, 0.1120, 0.6641], [0.8880, 0.8880, 0.3359], [0.5000, 0.5000, 0.5000]]
}

---

4.
{
  "formula": "Hf6Sc2N",
  "functional": "PBE",
  "state": "optimized geometry",
  "spacegroup": "I4/mmm, No. 139",
  "e_form_raw_ev_per_atom": -0.34,
  "density_g_cm3": 10.65,
  "magmom_total_mub_per_cell": 0.00,
  "dft_energy_ev_per_atom": -9.31,
  "cell": [[-5.2781, 2.3205, 2.7302], [-3.1405, -0.6567, -5.5131], [-2.4343, -8.3391, 2.3799]],
  "species": ["Hf", "Hf", "Hf", "Hf", "Hf", "Hf", "Hf", "Hf", "Hf", "Hf", "Hf", "Hf", "Sc", "Sc", "Sc", "Sc", "N", "N"],
  "fractional_positions": [[0.0000, 0.0000, 0.2470], [0.7477, 0.7481, 0.5000], [0.7521, 0.7522, 0.0000], [0.7479, 0.2522, 0.5000], [0.7523, 0.2481, 0.0000], [0.5000, 0.5000, 0.2530], [0.0000, 0.0000, 0.7530], [0.2523, 0.2519, 0.5000], [0.2479, 0.2478, 0.0000], [0.2521, 0.7478, 0.5000], [0.2477, 0.7519, 0.0000], [0.5000, 0.5000, 0.7470], [0.0000, 0.5000, 0.7500], [0.5000, 0.0000, 0.7500], [0.5000, 0.0000, 0.2500], [0.0000, 0.5000, 0.2500], [0.5000, 0.5000, 0.0000], [0.0000, 0.0000, 0.5000]]
}

---

5.
{
  "formula": "MgTl",
  "functional": "PBE",
  "state": "optimized geometry",
  "spacegroup": "Fm-3m, No. 225",
  "density_g_cm3": 6.80,
  "magmom_total_mub_per_cell": 0.00,
  "delta_e_f_ev_per_atom": 0.144,
  "dft_energy_ev_per_atom": -1.84,
  "cell": [[-3.7235, -1.9375, 0.8840], [-0.4882, -2.1246, 3.6942], [-2.5643, 1.5745, 3.0570]],
  "species": ["Mg", "Tl"],
  "fractional_positions": [[0.0000, 0.0000, 0.0000], [0.5000, 0.5000, 0.5000]]
}

---

6.
{
  "formula": "NbGeO2F",
  "functional": "PBE",
  "state": "optimized geometry",
  "spacegroup": "P4/mmm, No. 123",
  "e_form_raw_ev_per_atom": -0.65,
  "density_g_cm3": 5.61,
  "magmom_total_mub_per_cell": 3.16,
  "dft_energy_ev_per_atom": -5.95,
  "cell": [[4.0049, 0.0000, 0.0000], [0.0000, 4.0049, 0.0000], [0.0000, 0.0000, 3.9950]],
  "species": ["Nb", "Ge", "O", "O", "F"],
  "fractional_positions": [[0.5000, 0.5000, 0.5000], [0.0000, 0.0000, 0.0000], [0.0000, 0.5000, 0.0000], [0.5000, 0.0000, 0.0000], [0.0000, 0.0000, 0.5000]]
}

---

Repeat the fourth record exactly.
{
  "formula": "Hf6Sc2N",
  "functional": "PBE",
  "state": "optimized geometry",
  "spacegroup": "I4/mmm, No. 139",
  "e_form_raw_ev_per_atom": -0.34,
  "density_g_cm3": 10.65,
  "magmom_total_mub_per_cell": 0.00,
  "dft_energy_ev_per_atom": -9.31,
  "cell": [[-5.2781, 2.3205, 2.7302], [-3.1405, -0.6567, -5.5131], [-2.4343, -8.3391, 2.3799]],
  "species": ["Hf", "Hf", "Hf", "Hf", "Hf", "Hf", "Hf", "Hf", "Hf", "Hf", "Hf", "Hf", "Sc", "Sc", "Sc", "Sc", "N", "N"],
  "fractional_positions": [[0.0000, 0.0000, 0.2470], [0.7477, 0.7481, 0.5000], [0.7521, 0.7522, 0.0000], [0.7479, 0.2522, 0.5000], [0.7523, 0.2481, 0.0000], [0.5000, 0.5000, 0.2530], [0.0000, 0.0000, 0.7530], [0.2523, 0.2519, 0.5000], [0.2479, 0.2478, 0.0000], [0.2521, 0.7478, 0.5000], [0.2477, 0.7519, 0.0000], [0.5000, 0.5000, 0.7470], [0.0000, 0.5000, 0.7500], [0.5000, 0.0000, 0.7500], [0.5000, 0.0000, 0.2500], [0.0000, 0.5000, 0.2500], [0.5000, 0.5000, 0.0000], [0.0000, 0.0000, 0.5000]]
}